DFT (GGA-PBE) results for a geometry-optimized Ba2LiH4 structure.

Computed properties:
For the density of states at the Fermi level, the calculation gives 0.45 states/eV/atom. The spin magnetization is 0.9 μB/f.u. The energy above the lowest structure with this stoichiometry is 0 meV/atom.

Cell lengths 4.0576, 4.0576, 13.9916 Å; angles 90.00, 90.00, 90.00 degrees
Fractional positions:
Ba (0.0000, 0.0000, 0.1407)
Ba (0.0000, 0.0000, 0.8593)
Ba (0.5000, 0.5000, 0.3593)
Ba (0.5000, 0.5000, 0.6407)
Li (0.0000, 0.0000, 0.5000)
Li (0.5000, 0.5000, 0.0000)
H (0.0000, 0.0000, 0.3428)
H (0.0000, 0.0000, 0.6572)
H (0.0000, 0.5000, 0.0000)
H (0.0000, 0.5000, 0.5000)
H (0.5000, 0.0000, 0.0000)
H (0.5000, 0.0000, 0.5000)
H (0.5000, 0.5000, 0.1572)
H (0.5000, 0.5000, 0.8428)



DFT (GGA-PBE) results for a geometry-optimized BeCu2Si structure.

Computed properties:
For the density of states at the Fermi level, the calculation gives 0.21 states/eV/atom. The total DFT energy (no corrections) comes out at -17.13 eV per formula unit. The spin magnetization is 0.0 μB/f.u.

Cell lengths 2.5972, 2.5972, 23.4974 Å; angles 90.00, 90.00, 120.00 degrees
Fractional positions:
Be (0.0000, 0.0000, 0.0000)
Be (0.3333, 0.6667, 0.6667)
Be (0.6667, 0.3333, 0.3333)
Cu (0.0000, 0.0000, 0.2546)
Cu (0.0000, 0.0000, 0.7454)
Cu (0.3333, 0.6667, 0.4120)
Cu (0.3333, 0.6667, 0.9213)
Cu (0.6667, 0.3333, 0.0787)
Cu (0.6667, 0.3333, 0.5880)
Si (0.0000, 0.0000, 0.5000)
Si (0.3333, 0.6667, 0.1667)
Si (0.6667, 0.3333, 0.8333)



DFT (GGA-PBE) results for a geometry-optimized Be3Ge structure.

Computed properties:
For the density of states at the Fermi level, the calculation gives 0.34 states/eV/atom. Its energy of formation is 0.37 eV/atom. The spin magnetization is 0.0 μB/f.u.

Cell lengths 3.4832, 3.4832, 7.0565 Å; angles 90.00, 90.00, 90.00 degrees
Fractional positions:
Be (0.0000, 0.0000, 0.0000)
Be (0.0000, 0.5000, 0.2500)
Be (0.0000, 0.5000, 0.7500)
Be (0.5000, 0.0000, 0.2500)
Be (0.5000, 0.0000, 0.7500)
Be (0.5000, 0.5000, 0.5000)
Ge (0.0000, 0.0000, 0.5000)
Ge (0.5000, 0.5000, 0.0000)



DFT (GGA-PBE) results for a geometry-optimized Mg4MnFe structure.

Computed properties:
For the density of states at the Fermi level, the calculation gives 1.54 states/eV/atom. Its energy of formation is 0.57 eV/atom. The spin magnetization is 6.2 μB/f.u.

Cell lengths 5.4845, 5.4845, 5.4845 Å; angles 60.00, 60.00, 60.00 degrees
Fractional positions:
Mg (0.1252, 0.1252, 0.1252)
Mg (0.1252, 0.1252, 0.6243)
Mg (0.1252, 0.6243, 0.1252)
Mg (0.6243, 0.1252, 0.1252)
Mn (0.7500, 0.7500, 0.7500)
Fe (0.5000, 0.5000, 0.5000)



DFT (GGA-PBE) results for a geometry-optimized Sc2AsPb structure.

Computed properties:
For the density of states at the Fermi level, the calculation gives 0.31 states/eV/atom. Its energy of formation is -0.62 eV/atom. The spin magnetization is 0.0 μB/f.u. The energy above the lowest structure with this stoichiometry is 260 meV/atom.

Cell lengths 4.1260, 4.1260, 10.2906 Å; angles 90.00, 90.00, 90.00 degrees
Fractional positions:
Sc (0.0000, 0.0000, 0.0000)
Sc (0.0000, 0.5000, 0.2500)
Sc (0.5000, 0.0000, 0.7500)
Sc (0.5000, 0.5000, 0.5000)
As (0.0000, 0.5000, 0.7500)
As (0.5000, 0.0000, 0.2500)
Pb (0.0000, 0.0000, 0.5000)
Pb (0.5000, 0.5000, 0.0000)



DFT (GGA-PBE) results for a geometry-optimized TlTeIr2 structure.

Computed properties:
For the density of states at the Fermi level, the calculation gives 1.14 states/eV/atom. The spin magnetization is 0.0 μB/f.u. The energy above the lowest structure with this stoichiometry is 0 meV/atom.

Cell lengths 3.0307, 3.8967, 7.3768 Å; angles 90.00, 90.00, 90.00 degrees
Fractional positions:
Tl (0.0000, 0.0000, 0.0000)
Te (0.5000, 0.5000, 0.5782)
Ir (0.0000, 0.0000, 0.4147)
Ir (0.5000, 0.5000, 0.2190)



DFT (GGA-PBE) results for a geometry-optimized CeAl6Pt12 structure.

Computed properties:
For the density of states at the Fermi level, the calculation gives 0.60 states/eV/atom. Its energy of formation is -0.82 eV/atom. The spin magnetization is 0.8 μB/f.u.

Cell lengths 7.2537, 7.2537, 7.2537 Å; angles 106.56, 106.56, 106.56 degrees
Fractional positions:
Ce (0.0000, 0.0000, 0.0000)
Al (0.2732, 0.2732, 0.7047)
Al (0.2732, 0.7047, 0.2732)
Al (0.2953, 0.7268, 0.7268)
Al (0.7047, 0.2732, 0.2732)
Al (0.7268, 0.2953, 0.7268)
Al (0.7268, 0.7268, 0.2953)
Pt (0.1230, 0.5000, 0.8770)
Pt (0.1230, 0.8770, 0.5000)
Pt (0.1516, 0.3916, 0.3916)
Pt (0.3916, 0.1516, 0.3916)
Pt (0.3916, 0.3916, 0.1516)
Pt (0.5000, 0.1230, 0.8770)
Pt (0.5000, 0.8770, 0.1230)
Pt (0.6084, 0.6084, 0.8484)
Pt (0.6084, 0.8484, 0.6084)
Pt (0.8484, 0.6084, 0.6084)
Pt (0.8770, 0.1230, 0.5000)
Pt (0.8770, 0.5000, 0.1230)



DFT (GGA-PBE) results for a geometry-optimized ScCoMo3 structure.

Computed properties:
For the density of states at the Fermi level, the calculation gives 1.02 states/eV/atom. Its energy of formation is 0.88 eV/atom. The spin magnetization is 0.0 μB/f.u. The energy above the lowest structure with this stoichiometry is 0 meV/atom.

Cell lengths 4.5151, 4.5151, 4.5151 Å; angles 90.00, 90.00, 90.00 degrees
Fractional positions:
Sc (0.0000, 0.0000, 0.0000)
Co (0.5000, 0.5000, 0.5000)
Mo (0.0000, 0.5000, 0.5000)
Mo (0.5000, 0.0000, 0.5000)
Mo (0.5000, 0.5000, 0.0000)



DFT (GGA-PBE) results for a geometry-optimized GeN2ClF structure.

Computed properties:
For the density of states at the Fermi level, the calculation gives 0.69 states/eV/atom. The spin magnetization is 3.4 μB/f.u. The energy above the lowest structure with this stoichiometry is 0 meV/atom.

Cell lengths 3.9936, 3.9936, 3.9207 Å; angles 90.00, 90.00, 90.00 degrees
Fractional positions:
Ge (0.0000, 0.0000, 0.0000)
N (0.0000, 0.5000, 0.0000)
N (0.5000, 0.0000, 0.0000)
Cl (0.5000, 0.5000, 0.5000)
F (0.0000, 0.0000, 0.5000)



DFT (GGA-PBE) results for a geometry-optimized Cs2Sn3HgI8 structure.

Computed properties:
For the density of states at the Fermi level, the calculation gives 0.00 states/eV/atom. The total DFT energy (no corrections) comes out at -36.72 eV per formula unit. The spin magnetization is 0.0 μB/f.u.

Cell lengths 11.0818, 11.0818, 11.0818 Å; angles 50.61, 50.61, 50.61 degrees
Fractional positions:
Cs (0.0000, 0.0000, 0.0000)
Cs (0.3598, 0.3598, 0.3598)
Sn (0.5109, 0.9971, 0.9971)
Sn (0.9971, 0.5109, 0.9971)
Sn (0.9971, 0.9971, 0.5109)
Hg (0.6437, 0.6437, 0.6437)
I (0.2124, 0.7385, 0.7385)
I (0.2289, 0.2289, 0.2289)
I (0.2585, 0.2585, 0.7950)
I (0.2585, 0.7950, 0.2585)
I (0.7385, 0.2124, 0.7385)
I (0.7385, 0.7385, 0.2124)
I (0.7723, 0.7723, 0.7723)
I (0.7950, 0.2585, 0.2585)



DFT (GGA-PBE) results for a geometry-optimized CaMg2Ir structure.

Computed properties:
For the density of states at the Fermi level, the calculation gives 0.53 states/eV/atom. Its energy of formation is -0.15 eV/atom. The spin magnetization is 0.0 μB/f.u.

Cell lengths 6.8328, 6.8435, 6.9037 Å; angles 90.00, 90.00, 90.00 degrees
Fractional positions:
Ca (0.0000, 0.0000, 0.0000)
Ca (0.0000, 0.5000, 0.5000)
Ca (0.5000, 0.0000, 0.5000)
Ca (0.5000, 0.5000, 0.0000)
Mg (0.0000, 0.0000, 0.5000)
Mg (0.0000, 0.5000, 0.0000)
Mg (0.2500, 0.2500, 0.2500)
Mg (0.2500, 0.7500, 0.7500)
Mg (0.5000, 0.0000, 0.0000)
Mg (0.5000, 0.5000, 0.5000)
Mg (0.7500, 0.2500, 0.7500)
Mg (0.7500, 0.7500, 0.2500)
Ir (0.2500, 0.2500, 0.7500)
Ir (0.2500, 0.7500, 0.2500)
Ir (0.7500, 0.2500, 0.2500)
Ir (0.7500, 0.7500, 0.7500)



DFT (GGA-PBE) results for a geometry-optimized K5InO4 structure.

Computed properties:
The spin magnetization is 0.3 μB/f.u. The energy above the lowest structure with this stoichiometry is 198 meV/atom.

Cell lengths 8.3625, 8.3625, 7.2233 Å; angles 106.29, 106.29, 25.78 degrees
Fractional positions:
K (0.0000, 0.0000, 0.0000)
K (0.3348, 0.3348, 0.6185)
K (0.3453, 0.3453, 0.1642)
K (0.6547, 0.6547, 0.8358)
K (0.6652, 0.6652, 0.3815)
In (0.0000, 0.0000, 0.5000)
O (0.1455, 0.1455, 0.6042)
O (0.4966, 0.4966, 0.7168)
O (0.5034, 0.5034, 0.2832)
O (0.8545, 0.8545, 0.3958)